Material: PuTiBiO6
Method: DFT, PBE
State: relaxed

a b c (Å): 5.475 5.475 9.822
angles (deg): 90.00 90.00 120.00
Fractional coordinates of all 18 atoms:
Pu: 0.333 0.667 0.250
Pu: 0.667 0.333 0.750
Ti: 0.333 0.667 0.750
Ti: 0.667 0.333 0.250
Bi: 0.000 0.000 0.000
Bi: 0.000 0.000 0.500
O: 0.020 0.370 0.640
O: 0.020 0.650 0.860
O: 0.350 0.370 0.860
O: 0.350 0.980 0.640
O: 0.370 0.020 0.140
O: 0.370 0.350 0.360
O: 0.630 0.650 0.640
O: 0.630 0.980 0.860
O: 0.650 0.020 0.360
O: 0.650 0.630 0.140
O: 0.980 0.350 0.140
O: 0.980 0.630 0.360

Summary:
formation energy (no corrections): -2.393 eV per atom
ρ: 7.77 Mg/m³
uncorrected energy: -8.5990 eV per atom
volume: 14.2 Å³/atom
space-group type: P-31c, No. 163
density of states at the Fermi level: 1.00 states/eV/atom
total magnetic moment: 6.00 Bohr magnetons per cell